Compound: YMn2Fe
Source: Alexandria
Functional: PBE
Structure: relaxed

Structure (POSCAR):
```
YMn2Fe
1.0
6.338 0.000 0.000
0.000 6.338 0.000
0.000 0.000 6.338
Y Mn Fe
4 8 4
Cartesian
0.000 0.000 0.000
0.000 3.169 3.169
3.169 0.000 3.169
3.169 3.169 0.000
0.000 0.000 3.169
0.000 3.169 0.000
1.584 1.584 4.753
1.584 4.753 1.584
3.169 0.000 0.000
3.169 3.169 3.169
4.753 1.584 1.584
4.753 4.753 4.753
1.584 1.584 1.584
1.584 4.753 4.753
4.753 1.584 4.753
4.753 4.753 1.584
```

Computed properties:
DOS(E_F): 1.4299 states/eV/atom
total energy: -0.587 Ry per atom
formation enthalpy at 0 K: 0.334 eV per atom

***

Compound: NaSn2Bi2
Source: Alexandria
Functional: PBE
Structure: relaxed

Structure (POSCAR):
```
NaSn2Bi2
1.0
8.815 0.000 0.000
0.000 8.815 0.000
0.000 0.000 4.053
Na Sn Bi
2 4 4
Cartesian
0.000 0.000 0.000
4.407 4.407 0.000
1.186 3.222 0.000
3.222 7.629 0.000
5.593 1.186 0.000
7.629 5.593 0.000
1.370 5.777 2.026
3.037 1.370 2.026
5.777 7.445 2.026
7.445 3.037 2.026
```

Computed properties:
DOS(E_F): 0.4532 states/eV/atom
total energy: -0.253 Ry per atom
formation enthalpy at 0 K: -0.029 eV per atom

***

Compound: ReW2
Source: Alexandria
Functional: PBE
Structure: relaxed

Structure (POSCAR):
```
ReW2
1.0
2.830 0.000 0.000
0.000 2.830 0.000
0.000 0.000 24.706
Re W
4 8
Cartesian
0.000 0.707 9.265
0.000 2.122 15.441
1.415 0.707 3.088
1.415 2.122 21.617
0.000 0.707 19.715
0.000 0.707 23.520
0.000 2.122 1.186
0.000 2.122 4.991
1.415 0.707 13.538
1.415 0.707 17.344
1.415 2.122 7.362
1.415 2.122 11.167
```

Computed properties:
DOS(E_F): 1.2518 states/eV/atom
total energy: -0.901 Ry per atom
formation enthalpy at 0 K: 0.533 eV per atom

***

Compound: ZnAgP2
Source: Alexandria
Functional: PBE
Structure: relaxed

Structure (POSCAR):
```
ZnAgP2
1.0
3.239 0.000 0.000
0.000 3.875 0.000
0.000 0.000 11.093
Zn Ag P
2 2 4
Cartesian
0.000 0.000 0.000
1.619 1.937 5.547
0.000 1.937 9.172
1.619 0.000 3.626
0.000 0.000 6.409
0.000 1.937 2.487
1.619 0.000 8.034
1.619 1.937 0.862
```

Computed properties:
DOS(E_F): 0.2609 states/eV/atom
total energy: -0.257 Ry per atom
formation enthalpy at 0 K: 0.240 eV per atom

***

Compound: CeNdSb2
Source: Alexandria
Functional: PBE
Structure: relaxed

Structure (POSCAR):
```
CeNdSb2
1.0
4.511 0.000 0.000
-2.256 3.907 0.000
0.000 0.000 22.120
Ce Nd Sb
3 3 6
Cartesian
0.000 0.000 0.000
0.000 2.605 14.747
2.256 1.302 7.373
0.000 0.000 11.060
0.000 2.605 3.687
2.256 1.302 18.434
0.000 0.000 5.554
0.000 0.000 16.566
0.000 2.605 9.193
0.000 2.605 20.301
2.256 1.302 1.820
2.256 1.302 12.927
```

Computed properties:
ΔE_f (raw): -1.1208 eV per atom
DOS(E_F): 1.6538 states/eV/atom
total energy: -0.431 Ry per atom

***

Compound: LaTb3Dy8
Source: Alexandria
Functional: PBE
Structure: relaxed

Structure (POSCAR):
```
LaTb3Dy8
1.0
-4.336 4.336 5.665
4.336 -4.336 5.665
4.336 4.336 -5.665
La Tb Dy
1 3 8
Cartesian
0.000 0.000 0.000
4.336 0.000 2.833
0.000 0.000 5.665
0.000 4.336 2.833
1.087 -1.087 2.861
2.186 2.186 -0.051
2.150 -2.150 5.716
-1.087 1.087 2.861
3.249 3.249 2.804
2.150 2.150 5.614
-2.150 2.150 5.716
1.087 1.087 8.469
```

Computed properties:
DOS(E_F): 1.4783 states/eV/atom
total energy: -0.293 Ry per atom
formation enthalpy at 0 K: 0.646 eV per atom

***

Compound: PmNd6ErTm2
Source: Alexandria
Functional: PBE
Structure: relaxed

Structure (POSCAR):
```
PmNd6ErTm2
1.0
4.667 -7.618 0.000
4.667 7.618 0.000
-1.153 0.000 9.553
Pm Nd Er Tm
2 12 2 4
Cartesian
3.802 7.158 7.165
4.379 -7.158 2.388
1.851 4.220 6.553
4.024 4.933 0.528
4.734 4.933 4.248
2.760 1.683 8.435
5.753 4.220 7.777
4.845 1.683 5.895
3.336 -1.683 3.658
2.428 -4.220 1.776
5.421 -1.683 1.118
3.447 -4.933 5.305
4.157 -4.933 9.025
6.330 -4.220 3.001
4.379 1.348 2.388
3.802 -1.348 7.165
1.712 0.734 5.244
2.289 -0.734 0.468
5.892 0.734 9.086
6.469 -0.734 4.309
```

Computed properties:
DOS(E_F): 1.4570 states/eV/atom
total energy: -0.336 Ry per atom
formation enthalpy at 0 K: 0.115 eV per atom

***

Compound: SrAuCl2
Source: Alexandria
Functional: PBE
Structure: relaxed

Structure (POSCAR):
```
SrAuCl2
1.0
5.151 0.000 0.000
0.000 5.151 0.000
0.000 0.000 17.867
Sr Au Cl
4 4 8
Cartesian
0.000 0.000 0.000
0.000 2.575 4.467
2.575 0.000 13.400
2.575 2.575 8.933
0.000 0.000 8.933
0.000 2.575 13.400
2.575 0.000 4.467
2.575 2.575 0.000
1.229 1.288 11.167
1.288 3.804 15.634
1.288 3.922 6.700
1.347 1.288 2.233
3.804 3.863 2.233
3.863 1.229 6.700
3.863 1.347 15.634
3.922 3.863 11.167
```

Computed properties:
ΔE_f (raw): -1.1165 eV per atom
DOS(E_F): 0.3638 states/eV/atom
total energy: -0.241 Ry per atom

***

Compound: MgTaCl2
Source: Alexandria
Functional: PBE
Structure: relaxed

Structure (POSCAR):
```
MgTaCl2
1.0
14.316 0.000 0.000
0.000 3.031 0.000
-1.999 0.000 5.005
Mg Ta Cl
2 2 4
Cartesian
0.000 0.000 0.000
7.158 1.516 0.000
-1.000 1.516 2.502
6.158 0.000 2.502
0.840 0.000 3.256
4.318 1.516 1.749
7.998 1.516 3.256
11.477 0.000 1.749
```

Computed properties:
ΔE_f (raw): -0.4071 eV per atom
DOS(E_F): 0.7349 states/eV/atom
total energy: -0.345 Ry per atom

***

Compound: PrNdRu
Source: Alexandria
Functional: PBE
Structure: relaxed

Structure (POSCAR):
```
PrNdRu
1.0
6.996 0.000 0.000
0.000 6.996 0.000
0.000 0.000 6.996
Pr Nd Ru
4 4 4
Cartesian
0.000 0.000 0.000
0.000 3.498 3.498
3.498 0.000 3.498
3.498 3.498 0.000
0.000 0.000 3.498
0.000 3.498 0.000
3.498 0.000 0.000
3.498 3.498 3.498
1.749 1.749 5.247
1.749 5.247 1.749
5.247 1.749 1.749
5.247 5.247 5.247
```

Computed properties:
DOS(E_F): 0.6612 states/eV/atom
total energy: -0.471 Ry per atom
formation enthalpy at 0 K: -0.129 eV per atom

***

Compound: LaCeTeO2
Source: Alexandria
Functional: PBE
Structure: relaxed

Structure (POSCAR):
```
LaCeTeO2
1.0
4.088 0.000 0.000
0.000 4.088 0.000
0.000 0.000 13.071
La Ce Te O
2 2 2 4
Cartesian
0.000 0.000 0.000
2.044 2.044 6.536
0.000 0.000 8.944
2.044 2.044 2.409
0.000 0.000 4.457
2.044 2.044 10.993
0.000 2.044 1.239
0.000 2.044 7.775
2.044 0.000 1.239
2.044 0.000 7.775
```

Computed properties:
ΔE_f (raw): -2.9189 eV per atom
DOS(E_F): 1.3776 states/eV/atom
total energy: -0.566 Ry per atom

***

Compound: Si2WCl
Source: Alexandria
Functional: PBE
Structure: relaxed

Structure (POSCAR):
```
Si2WCl
1.0
3.558 0.000 0.000
0.000 3.558 0.000
0.000 0.000 4.832
Si W Cl
2 1 1
Cartesian
0.000 1.779 0.000
1.779 0.000 0.000
0.000 0.000 2.416
1.779 1.779 2.416
```

Computed properties:
ΔE_f (raw): 0.9312 eV per atom
DOS(E_F): 0.6372 states/eV/atom
total energy: -0.403 Ry per atom

***

> Number 5 is which compound?

CeNdSb2